# 1
Here is a relaxed LiBS2 crystal from Alexandria via LeMat-Bulk. Energies are from PBE.

Structure (POSCAR):
```
LiBS2
1.0
4.058 0.000 0.000
0.000 4.058 0.000
0.000 0.000 3.111
Li B S
1 1 2
Direct
0.000 0.000 0.000
0.500 0.500 0.000
0.000 0.500 0.500
0.500 0.000 0.500
```

Properties
Calculated total energy (eV per formula unit): -14.214
Volume (Å³/f.u.): 51.2
Formation energy (no corrections) (eV per atom): 0.658



# 2
Here is a relaxed LiBS2 crystal from Alexandria via LeMat-Bulk. Energies are from PBE.

Structure (POSCAR):
```
LiBS2
1.0
10.883 0.000 0.000
0.000 3.184 0.000
0.000 0.000 10.344
Li B S
4 4 8
Direct
0.016 0.250 0.138
0.484 0.750 0.638
0.516 0.250 0.362
0.984 0.750 0.862
0.220 0.750 0.374
0.280 0.250 0.874
0.720 0.750 0.126
0.780 0.250 0.626
0.128 0.250 0.346
0.128 0.250 0.930
0.372 0.750 0.430
0.372 0.750 0.846
0.628 0.250 0.154
0.628 0.250 0.570
0.872 0.750 0.070
0.872 0.750 0.654
```

Properties
Calculated total energy (eV per formula unit): -19.412
Volume (Å³/f.u.): 89.6
Formation energy (no corrections) (eV per atom): -0.641



# 3
Here is a relaxed LiBS3 crystal from Alexandria via LeMat-Bulk. Energies are from PBE.

Structure (POSCAR):
```
LiBS3
1.0
4.440 0.000 0.000
0.000 4.440 0.000
0.000 0.000 4.440
Li B S
1 1 3
Direct
0.000 0.000 0.000
0.500 0.500 0.500
0.000 0.000 0.500
0.000 0.500 0.000
0.500 0.000 0.000
```

Properties
Calculated total energy (eV per formula unit): -14.114
Relative energy among the computed polymorphs (eV/f.u.): 9.90
Volume (Å³/f.u.): 87.5
Formation energy (no corrections) (eV per atom): 1.372



# 4
Here is a relaxed LiBS2 crystal from Alexandria via LeMat-Bulk. Energies are from PBE.

Structure (POSCAR):
```
LiBS2
1.0
-3.503 3.503 4.020
3.503 -3.503 4.020
3.503 3.503 -4.020
Li B S
2 2 4
Direct
0.375 0.625 0.750
0.625 0.375 0.250
0.125 0.875 0.250
0.875 0.125 0.750
0.083 0.333 0.750
0.333 0.083 0.250
0.667 0.917 0.750
0.917 0.667 0.250
```

Properties
Calculated total energy (eV per formula unit): -18.591
Volume (Å³/f.u.): 98.7
Formation energy (no corrections) (eV per atom): -0.436



# 5
Here is a relaxed LiBS2 crystal from Alexandria via LeMat-Bulk. Energies are from PBE.

Structure (POSCAR):
```
LiBS2
1.0
2.250 -6.618 0.000
2.250 6.618 0.000
0.000 0.000 8.315
Li B S
2 2 4
Direct
0.132 0.868 0.750
0.868 0.132 0.250
0.441 0.559 0.750
0.559 0.441 0.250
0.316 0.684 0.750
0.431 0.569 0.250
0.569 0.431 0.750
0.684 0.316 0.250
```

Properties
Calculated total energy (eV per formula unit): -19.082
Volume (Å³/f.u.): 123.8
Formation energy (no corrections) (eV per atom): -0.559



# 6
Here is a relaxed LiB2S4 crystal from Alexandria via LeMat-Bulk. Energies are from PBE.

Structure (POSCAR):
```
LiB2S4
1.0
6.707 0.000 0.000
1.287 6.626 0.000
0.548 3.301 7.956
Li B S
2 4 8
Direct
0.000 0.000 0.000
0.495 0.768 0.447
0.249 0.385 0.725
0.251 0.386 0.225
0.748 0.886 0.723
0.751 0.387 0.223
0.187 0.633 0.234
0.242 0.124 0.760
0.255 0.646 0.689
0.315 0.140 0.214
0.687 0.643 0.213
0.742 0.660 0.688
0.755 0.112 0.758
0.815 0.130 0.233
```

Properties
Calculated total energy (eV per formula unit): -33.638
Volume (Å³/f.u.): 176.8
Formation energy (no corrections) (eV per atom): -0.266